Mg3Zn7Ag2 | PBE | relaxed

Results
The calculation puts the formation enthalpy at 0 K at -1.31 eV per formula unit. The symmetry is No. 166. As for the calculated total energy: -1.73 eV per atom. For the total magnetization, the calculation gives 0.0 Bohr magnetons per cell.

Lattice parameters (Å, degrees): 5.1799 5.1799 9.3463 73.91 73.91 60.00
Sites, in units of the cell vectors:
Mg  0.8555  0.8555  0.4336
Mg  0.0000  0.0000  0.0000
Mg  0.1445  0.1445  0.5664
Ag  0.3337  0.3337  0.9990
Ag  0.6663  0.6663  0.0010
Zn  0.9169  0.4113  0.2605
Zn  0.4113  0.9169  0.2605
Zn  0.0831  0.5887  0.7395
Zn  0.5887  0.0831  0.7395
Zn  0.5000  0.5000  0.5000
Zn  0.4113  0.4113  0.2605
Zn  0.5887  0.5887  0.7395

MgZnAg2 | PBE | relaxed

Results
The calculation puts the formation enthalpy at 0 K at -0.60 eV per formula unit. The symmetry is No. 119. As for the calculated total energy: -2.29 eV per atom. For the total magnetization, the calculation gives 0.0 Bohr magnetons per cell.

Lattice parameters (Å, degrees): 5.1531 5.1531 5.1531 134.33 134.40 66.51
Sites, in units of the cell vectors:
Mg  0.5001  0.5001  0.0000
Ag  0.7500  0.2500  0.5000
Ag  0.9999  0.9999  0.0000
Zn  0.2501  0.7501  0.5000

MgZnAg4 | PBE | relaxed

Results
The calculation puts the formation enthalpy at 0 K at 0.42 eV per formula unit. As for the energy above the most stable polymorph in this dataset: 133.6 meV per atom. The symmetry is No. 216. As for the calculated total energy: -2.31 eV per atom. For the total magnetization, the calculation gives 0.0 Bohr magnetons per cell.

Lattice parameters (Å, degrees): 5.4924 5.4924 5.4924 60.00 60.00 60.00
Sites, in units of the cell vectors:
Zn  0.0000  0.0000  0.0000
Mg  0.7500  0.7500  0.7500
Ag  0.3751  0.3751  0.8748
Ag  0.3751  0.8748  0.3751
Ag  0.3751  0.3751  0.3751
Ag  0.8748  0.3751  0.3751

MgZn4Ag3 | PBE | relaxed

Results
The calculation puts the formation enthalpy at 0 K at -0.60 eV per formula unit. As for the energy above the most stable polymorph in this dataset: 0.0 meV per atom. The symmetry is No. 12. As for the calculated total energy: -1.98 eV per atom. For the total magnetization, the calculation gives 0.0 Bohr magnetons per cell.

Lattice parameters (Å, degrees): 3.9158 4.0448 8.7466 103.42 102.94 90.00
Sites, in units of the cell vectors:
Mg  0.5000  0.0000  0.0000
Zn  0.3692  0.3699  0.7384
Zn  0.7499  0.2500  0.4998
Zn  0.6308  0.6301  0.2616
Zn  0.2501  0.7500  0.5002
Ag  0.1310  0.1304  0.2621
Ag  0.8690  0.8696  0.7379
Ag  0.0000  0.5000  0.0000

Mg3ZnAg2 | PBE | relaxed

Results
The calculation puts the formation enthalpy at 0 K at -1.15 eV per formula unit. The symmetry is No. 123. As for the calculated total energy: -2.15 eV per atom. For the total magnetization, the calculation gives 0.0 Bohr magnetons per cell.

Lattice parameters (Å, degrees): 3.2147 3.2147 10.6148 90.00 90.00 90.00
Sites, in units of the cell vectors:
Mg  0.0000  0.0000  0.6665
Mg  0.0000  0.0000  0.0000
Mg  0.0000  0.0000  0.3335
Ag  0.5000  0.5000  0.1667
Ag  0.5000  0.5000  0.8333
Zn  0.5000  0.5000  0.5000

Mg6Zn5Ag | PBE | relaxed

Results
The calculation puts the formation enthalpy at 0 K at -1.24 eV per formula unit. The symmetry is No. 10. As for the calculated total energy: -1.67 eV per atom. For the total magnetization, the calculation gives 0.0 Bohr magnetons per cell.

Lattice parameters (Å, degrees): 4.5278 7.0676 7.1684 90.00 108.87 90.00
Sites, in units of the cell vectors:
Mg  0.8331  0.2491  0.6654
Mg  0.5000  0.2544  0.0000
Mg  0.5000  0.7456  0.0000
Mg  0.8331  0.7509  0.6654
Mg  0.1669  0.2491  0.3346
Mg  0.1669  0.7509  0.3346
Zn  0.0000  0.5000  0.0000
Zn  0.3317  0.5000  0.6628
Zn  0.6683  0.5000  0.3372
Zn  0.6638  0.0000  0.3280
Zn  0.3362  0.0000  0.6720
Ag  0.0000  0.0000  0.0000

Mg11Zn9Ag4 | PBE | relaxed

Results
The calculation puts the formation enthalpy at 0 K at -2.32 eV per formula unit. The symmetry is No. 65. As for the calculated total energy: -1.78 eV per atom. For the total magnetization, the calculation gives 0.0 Bohr magnetons per cell.

Lattice parameters (Å, degrees): 3.1282 12.3069 12.3069 112.21 90.00 90.00
Sites, in units of the cell vectors:
Mg  0.0000  0.7476  0.7476
Mg  0.0000  0.1648  0.8352
Mg  0.0000  0.8352  0.1648
Mg  0.0000  0.6390  0.3610
Mg  0.0000  0.3610  0.6390
Mg  0.0000  0.5904  0.9448
Mg  0.0000  0.2524  0.2524
Mg  0.0000  0.0552  0.4096
Mg  0.0000  0.9448  0.5904
Mg  0.0000  0.4096  0.0552
Mg  0.0000  0.0000  0.0000
Zn  0.5000  0.6314  0.1592
Zn  0.5000  0.7901  0.9521
Zn  0.5000  0.1592  0.6314
Zn  0.5000  0.5000  0.5000
Zn  0.5000  0.0479  0.2099
Zn  0.5000  0.2099  0.0479
Zn  0.5000  0.9521  0.7901
Zn  0.5000  0.8408  0.3686
Zn  0.5000  0.3686  0.8408
Ag  0.5000  0.7452  0.5602
Ag  0.5000  0.2548  0.4398
Ag  0.5000  0.4398  0.2548
Ag  0.5000  0.5602  0.7452

MgZn3Ag6 | PBE | relaxed

Results
The calculation puts the formation enthalpy at 0 K at -0.71 eV per formula unit. As for the energy above the most stable polymorph in this dataset: 0.0 meV per atom. The symmetry is No. 11. As for the calculated total energy: -2.32 eV per atom. For the total magnetization, the calculation gives 0.0 Bohr magnetons per cell.

Lattice parameters (Å, degrees): 4.5516 7.9415 9.7778 106.48 90.00 90.00
Sites, in units of the cell vectors:
Ag  0.7500  0.1735  0.6982
Ag  0.7500  0.3697  0.2873
Ag  0.7500  0.8538  0.7795
Ag  0.2500  0.1462  0.2205
Ag  0.7500  0.9471  0.0849
Ag  0.2500  0.6303  0.7127
Ag  0.2500  0.2588  0.5257
Ag  0.2500  0.4514  0.1058
Ag  0.2500  0.0529  0.9151
Ag  0.7500  0.5486  0.8942
Ag  0.2500  0.8265  0.3018
Ag  0.7500  0.7412  0.4743
Zn  0.2500  0.5389  0.4119
Zn  0.2500  0.3412  0.8179
Zn  0.7500  0.6588  0.1821
Zn  0.7500  0.4611  0.5881
Zn  0.7500  0.2481  0.9946
Zn  0.2500  0.7519  0.0054
Mg  0.2500  0.9406  0.6091
Mg  0.7500  0.0594  0.3909